A plane-wave DFT calculation with meta-GGA SCAN was carried out for TaMnZnB2 at its PBEsol-relaxed geometry.

The structure belongs to space group P4/mmm (No. 123); the cell edges are 3.829, 3.829 and 4.760 Å and the angles 90.00°, 90.00° and 90.00°. The asymmetric unit holds Ta at (0.000, 0.000, 0.000), Mn at (0.500, 0.500, 0.000), Zn at (0.000, 0.000, 0.500) and B at (0.000, 0.500, 0.500).

As for the total energy: -105.61 eV per formula unit.